The following is a PBE-GGA calculation of an optimized crystal structure of BaSrSbH, from Alexandria via LeMat-Bulk.

## Properties
* space-group type: F-43m (216)

Cell lengths 5.6317, 5.6317, 5.6317 Å; angles 60.00, 60.00, 60.00 degrees
Last column: nearest neighbours and their distance in Å.
Sites, in units of the cell vectors:
H 0.2500 0.2500 0.2500  4 Ba 3.45, 4 Sr 3.45
Ba 0.0000 0.0000 0.0000  4 H 3.45, 4 Sb 3.45
Sb 0.7500 0.7500 0.7500  4 Sr 3.45, 4 Ba 3.45
Sr 0.5000 0.5000 0.5000  4 Sb 3.45, 4 H 3.45

=====

The following is a PBE-GGA calculation of an optimized crystal structure of BaSrSbH2, from Alexandria via LeMat-Bulk.

## Properties
* space-group type: Cmcm (63)

Cell lengths 5.0773, 7.2035, 7.6438 Å; angles 90.00, 90.00, 110.64 degrees
Last column: nearest neighbours and their distance in Å.
Sites, in units of the cell vectors:
Sr 0.0000 0.0000 0.0000  2 H 2.46
H 0.1791 0.3581 0.9390  1 Sr 2.46, 1 Ba 2.70
Ba 0.7257 0.4513 0.7500  6 H 2.70-2.99
Sb 0.4454 0.8908 0.7500  4 Sr 3.26
H 0.8209 0.6419 0.4390  1 Sr 2.46, 1 Ba 2.70
H 0.8209 0.6419 0.0610  1 Sr 2.46, 1 Ba 2.70
Sr 0.0000 0.0000 0.5000  2 H 2.46
Ba 0.2743 0.5487 0.2500  6 H 2.70-2.99
H 0.1791 0.3581 0.5610  1 Sr 2.46, 1 Ba 2.70
Sb 0.5546 0.1092 0.2500  4 Sr 3.26

=====

The following is a PBE-GGA calculation of an optimized crystal structure of BaSbTe2H, from Alexandria via LeMat-Bulk.

## Properties
* space-group type: P4/mmm (123)

Cell lengths 5.7786, 5.7786, 4.1201 Å; angles 90.00, 90.00, 90.00 degrees
Last column: nearest neighbours and their distance in Å.
Sites, in units of the cell vectors:
H 0.0000 0.0000 0.0000  2 Sb 2.06
Ba 0.5000 0.5000 0.5000  8 Te 3.55
Sb 0.0000 0.0000 0.5000  2 H 2.06
Te 0.0000 0.5000 0.0000  2 H 2.89
Te 0.5000 0.0000 0.0000  2 H 2.89

=====

The following is a PBE-GGA calculation of an optimized crystal structure of BaSbTe2H, from Alexandria via LeMat-Bulk.

## Properties
* space-group type: P4/mmm (123)

Cell lengths 6.7500, 6.7500, 6.8997 Å; angles 90.00, 90.00, 90.00 degrees
Last column: nearest neighbours and their distance in Å.
Sites, in units of the cell vectors:
Te 0.5000 0.0000 0.0000  2 Ba 3.37
H 0.5000 0.5000 0.5000  4 Sb 4.77, 8 Te 4.83
Te 0.0000 0.5000 0.0000  2 Ba 3.37
Ba 0.0000 0.0000 0.0000  4 Te 3.37, 2 Sb 3.45
Sb 0.0000 0.0000 0.5000  2 Ba 3.45

=====

DFT total energy per entry: -3.4186 -3.4533 -3.4881 -2.3281 eV per atom
Magnetic moment per entry: 0.0 0.0 0.0 1.0 μB per cell